An optimized crystal structure of CsNiBr6, computed with PBE.

Unit cell a=8.517 b=8.517 c=8.517 alpha=60.00 beta=60.00 gamma=60.00
Each line ends with the local moment (μB).
Sites, in units of the cell vectors:
Br1 0.197 0.803 0.197  0.15
Br2 0.803 0.803 0.197  0.15
Br3 0.803 0.197 0.197  0.15
Br4 0.197 0.803 0.803  0.15
Br5 0.197 0.197 0.803  0.15
Br6 0.803 0.197 0.803  0.15
Cs1 0.500 0.500 0.500  0.00
Ni1 0.000 0.000 0.000  -0.03

- total magnetization (μB per formula unit) = 1.16
- crystal system = cubic

=====

An optimized crystal structure of CsNiBr3, computed with PBE.

Unit cell a=6.328 b=7.674 c=7.674 alpha=60.00 beta=90.00 gamma=90.00
Each line ends with the local moment (μB).
Sites, in units of the cell vectors:
Br1 0.750 0.152 0.696  0.16
Br2 0.250 0.848 0.304  0.16
Br3 0.250 0.304 0.848  0.14
Br4 0.250 0.848 0.848  0.15
Br5 0.750 0.696 0.152  0.14
Br6 0.750 0.152 0.152  0.15
Cs1 0.250 0.333 0.333  0.00
Cs2 0.750 0.667 0.667  0.00
Ni1 0.500 0.000 0.000  1.38
Ni2 0.000 0.000 0.000  1.38

- total magnetization (μB per formula unit) = 2.00
- crystal system = hexagonal

=====

An optimized crystal structure of Cs3Ni2Br9, computed with PBE.

Unit cell a=10.151 b=10.151 c=10.151 alpha=78.77 beta=78.77 gamma=78.77
Each line ends with the local moment (μB).
Sites, in units of the cell vectors:
Br1 0.266 0.107 0.949  0.03
Br2 0.051 0.734 0.893  0.03
Br3 0.901 0.750 0.599  0.07
Br4 0.949 0.266 0.107  0.03
Br5 0.750 0.599 0.901  0.07
Br6 0.393 0.234 0.551  0.03
Br7 0.107 0.949 0.266  0.03
Br8 0.607 0.766 0.449  0.03
Br9 0.893 0.051 0.734  0.03
Br10 0.766 0.449 0.607  0.03
Br11 0.599 0.901 0.750  0.07
Br12 0.401 0.099 0.250  0.07
Br13 0.449 0.607 0.766  0.03
Br14 0.099 0.250 0.401  0.07
Br15 0.551 0.393 0.234  0.03
Br16 0.734 0.893 0.051  0.03
Br17 0.234 0.551 0.393  0.03
Br18 0.250 0.401 0.099  0.07
Cs1 0.409 0.750 0.091  0.00
Cs2 0.250 0.909 0.591  0.00
Cs3 0.091 0.409 0.750  0.00
Cs4 0.750 0.091 0.409  0.00
Cs5 0.591 0.250 0.909  0.00
Cs6 0.909 0.591 0.250  0.00
Ni1 0.172 0.172 0.172  0.70
Ni2 0.328 0.328 0.328  0.70
Ni3 0.828 0.828 0.828  0.70
Ni4 0.672 0.672 0.672  0.70

- total magnetization (μB per formula unit) = 2.01
- crystal system = trigonal

=====

An optimized crystal structure of CsNi3Br, computed with PBE.

Unit cell a=4.679 b=4.679 c=4.679 alpha=90.00 beta=90.00 gamma=90.00
Sites, in units of the cell vectors:
Cs1 0.500 0.500 0.500
Ni1 0.000 0.500 0.000
Ni2 0.500 0.000 0.000
Ni3 0.000 0.000 0.500
Br1 0.000 0.000 0.000

- total magnetization (μB per formula unit) = 0.00
- energy above the lowest structure with this stoichiometry (kJ per mole of atoms) = 0.00
- crystal system = cubic

=====

An optimized crystal structure of Cs3NiBr4, computed with PBE.

Unit cell a=7.505 b=7.505 c=7.505 alpha=106.60 beta=110.93 gamma=110.93
Each line ends with the local moment (μB).
Sites, in units of the cell vectors:
Br1 0.000 0.292 0.708  0.03
Br2 0.417 0.708 0.708  0.03
Br3 0.583 0.292 0.292  0.03
Br4 0.000 0.708 0.292  0.03
Ni1 0.000 0.500 0.500  0.85
Cs1 0.500 0.250 0.750  0.00
Cs2 0.500 0.750 0.250  0.00
Cs3 0.000 0.000 0.000  0.01

- total magnetization (μB per formula unit) = 1.00
- crystal system = tetragonal

=====

An optimized crystal structure of CsNi3Br, computed with PBE.

Unit cell a=4.871 b=4.871 c=4.871 alpha=90.00 beta=90.00 gamma=90.00
Sites, in units of the cell vectors:
Br1 0.500 0.500 0.500
Ni1 0.000 0.500 0.000
Ni2 0.500 0.000 0.000
Ni3 0.000 0.000 0.500
Cs1 0.000 0.000 0.000

- total magnetization (μB per formula unit) = 0.00
- energy above the lowest structure with this stoichiometry (kJ per mole of atoms) = 95.30
- crystal system = cubic

=====

An optimized crystal structure of CsNiBr5, computed with PBE.

Unit cell a=7.158 b=7.440 c=7.440 alpha=61.54 beta=61.25 gamma=61.25
Each line ends with the local moment (μB).
Sites, in units of the cell vectors:
Br1 0.411 0.742 0.258  0.24
Br2 0.953 0.500 0.500  0.19
Br3 0.424 0.721 0.721  0.12
Br4 0.411 0.258 0.742  0.24
Br5 0.865 0.279 0.279  0.12
Cs1 0.845 0.000 0.000  0.00
Ni1 0.621 0.500 0.500  0.77

- total magnetization (μB per formula unit) = 2.03
- crystal system = orthorhombic

=====

An optimized crystal structure of CsNiBr, computed with PBE.

Unit cell a=10.675 b=4.520 c=8.525 alpha=90.00 beta=90.00 gamma=90.00
Each line ends with the local moment (μB).
Sites, in units of the cell vectors:
Cs1 0.708 0.750 0.886  0.00
Cs2 0.208 0.750 0.614  0.00
Cs3 0.292 0.250 0.114  0.00
Cs4 0.792 0.250 0.386  0.00
Br1 0.967 0.250 0.765  0.00
Br2 0.467 0.250 0.735  0.00
Br3 0.033 0.750 0.235  0.00
Br4 0.533 0.750 0.265  0.00
Ni1 0.507 0.750 0.534  -0.06
Ni2 0.493 0.250 0.466  -0.06
Ni3 0.007 0.750 0.966  -0.06
Ni4 0.993 0.250 0.034  -0.06

- total magnetization (μB per formula unit) = 0.03
- energy above the lowest structure with this stoichiometry (kJ per mole of atoms) = 0.00
- crystal system = orthorhombic

=====

An optimized crystal structure of CsNiPdBr6, computed with PBE.

Unit cell a=6.838 b=6.636 c=8.279 alpha=89.11 beta=88.26 gamma=58.98
Each line ends with the local moment (μB).
Sites, in units of the cell vectors:
Br1 0.631 0.000 0.328  0.09
Br2 0.363 0.621 0.312  0.23
Br3 0.003 0.367 0.334  0.12
Br4 0.630 0.367 0.666  0.12
Br5 0.369 0.000 0.672  0.09
Br6 0.016 0.621 0.688  0.23
Cs1 0.993 0.013 0.000  0.01
Ni1 0.329 0.343 0.500  1.36
Pd1 0.666 0.669 0.500  0.46

- total magnetization (μB per formula unit) = 3.00
- crystal system = monoclinic

=====

An optimized crystal structure of CsPrNiBr6, computed with PBE.

Unit cell a=7.219 b=7.219 c=8.124 alpha=90.01 beta=90.00 gamma=59.99
Each line ends with the local moment (μB).
Sites, in units of the cell vectors:
Br1 0.355 0.035 0.692  0.08
Br2 0.035 0.355 0.308  0.08
Br3 0.355 0.610 0.308  0.08
Br4 0.610 0.035 0.308  0.08
Br5 0.610 0.355 0.692  0.08
Br6 0.035 0.610 0.692  0.08
Pr1 0.667 0.667 0.500  0.00
Ni1 0.333 0.333 0.500  1.44
Cs1 0.000 0.000 0.000  0.00

- total magnetization (μB per formula unit) = 2.08
- crystal system = trigonal

=====

An optimized crystal structure of CsPuNiBr6, computed with PBE.

Unit cell a=7.123 b=7.123 c=8.168 alpha=90.00 beta=89.99 gamma=59.99
Each line ends with the local moment (μB).
Sites, in units of the cell vectors:
Br1 0.028 0.618 0.687  -0.09
Br2 0.028 0.354 0.313  -0.09
Br3 0.618 0.028 0.313  -0.09
Br4 0.354 0.618 0.313  -0.09
Br5 0.354 0.028 0.687  -0.09
Br6 0.617 0.354 0.687  -0.09
Cs1 0.000 0.000 0.000  -0.01
Pu1 0.667 0.667 0.500  4.98
Ni1 0.333 0.333 0.500  -1.33

- total magnetization (μB per formula unit) = 3.00
- crystal system = trigonal

=====

An optimized crystal structure of CsRbNiBr4, computed with PBE.

Unit cell a=7.173 b=7.696 c=10.521 alpha=90.00 beta=111.55 gamma=90.00
Each line ends with the local moment (μB).
Sites, in units of the cell vectors:
Rb1 0.793 0.750 0.457  0.00
Rb2 0.207 0.250 0.543  0.00
Cs1 0.713 0.750 0.920  0.00
Cs2 0.287 0.250 0.080  0.00
Br1 0.989 0.505 0.243  0.12
Br2 0.628 0.250 0.863  0.08
Br3 0.653 0.250 0.455  0.08
Br4 0.372 0.750 0.137  0.08
Br5 0.011 0.005 0.757  0.12
Br6 0.989 0.995 0.243  0.12
Br7 0.011 0.495 0.757  0.12
Br8 0.347 0.750 0.545  0.08
Ni1 0.790 0.250 0.700  1.36
Ni2 0.210 0.750 0.300  1.36

- total magnetization (μB per formula unit) = 2.00
- crystal system = monoclinic

=====

Results for energy relative to the elements, uncorrected: -3.08 -4.70 -12.87 4.40 -9.97 9.34 -3.77 -0.99 -5.37 -11.92 -10.62 -8.04 (in eV/f.u., following the order of the records).